A plane-wave DFT calculation with PBE was carried out for an optimized crystal structure of Tl5Cd4Bi4.

a = 9.433 Å, b = 9.433 Å, c = 9.433 Å
α = 93.83°, β = 93.83°, γ = 150.06°
Fractional positions:
1 Tl 0.000 0.000 0.000
2 Tl 0.309 0.403 0.711
3 Tl 0.403 0.691 0.094
4 Tl 0.597 0.309 0.906
5 Tl 0.691 0.597 0.289
6 Cd 0.096 0.593 0.689
7 Cd 0.407 0.096 0.504
8 Cd 0.593 0.904 0.496
9 Cd 0.904 0.407 0.311
10 Bi 0.089 0.262 0.351
11 Bi 0.262 0.911 0.174
12 Bi 0.738 0.089 0.826
13 Bi 0.911 0.738 0.649

energy = -0.1761 Ry per atom
D(E_F) = 4.07 states/eV/f.u.
ΔE_f = -0.010 eV/atom

A plane-wave DFT calculation with PBE was carried out for an optimized crystal structure of TlCd2Bi.

a = 6.626 Å, b = 6.626 Å, c = 7.586 Å
α = 90.00°, β = 90.00°, γ = 135.31°
Fractional positions:
1 Tl 0.076 0.924 0.750
2 Tl 0.924 0.076 0.250
3 Cd 0.385 0.615 0.544
4 Cd 0.385 0.615 0.956
5 Cd 0.615 0.385 0.044
6 Cd 0.615 0.385 0.456
7 Bi 0.209 0.791 0.250
8 Bi 0.791 0.209 0.750

energy = -0.1480 Ry per atom
excess energy over the best structure of this formula in the dataset = 0.0 meV/atom
D(E_F) = 1.03 states/eV/f.u.
ΔE_f = 0.006 eV/atom

A plane-wave DFT calculation with PBE was carried out for an optimized crystal structure of Tl3CdBi.

a = 5.643 Å, b = 5.643 Å, c = 5.643 Å
α = 90.00°, β = 90.00°, γ = 90.00°
Fractional positions:
1 Tl 0.000 0.000 0.500
2 Tl 0.000 0.500 0.000
3 Tl 0.500 0.000 0.000
4 Cd 0.000 0.000 0.000
5 Bi 0.500 0.500 0.500

energy = -0.1516 Ry per atom
excess energy over the best structure of this formula in the dataset = 275.0 meV/atom
D(E_F) = 2.44 states/eV/f.u.
ΔE_f = 0.317 eV/atom

A plane-wave DFT calculation with PBE was carried out for an optimized crystal structure of Tl5CdBi2.

a = 7.076 Å, b = 14.261 Å, c = 4.873 Å
α = 90.00°, β = 90.00°, γ = 90.00°
Fractional positions:
1 Tl 0.000 0.000 0.000
2 Tl 0.053 0.254 0.000
3 Tl 0.200 0.865 0.500
4 Tl 0.300 0.365 0.500
5 Tl 0.447 0.754 0.000
6 Tl 0.500 0.500 0.000
7 Tl 0.553 0.246 0.000
8 Tl 0.700 0.635 0.500
9 Tl 0.800 0.135 0.500
10 Tl 0.947 0.746 0.000
11 Cd 0.000 0.500 0.000
12 Cd 0.500 0.000 0.000
13 Bi 0.196 0.608 0.500
14 Bi 0.304 0.108 0.500
15 Bi 0.696 0.892 0.500
16 Bi 0.804 0.392 0.500

energy = -0.1890 Ry per atom
D(E_F) = 3.56 states/eV/f.u.
ΔE_f = -0.008 eV/atom

A plane-wave DFT calculation with PBE was carried out for an optimized crystal structure of Tl12CdBi3.

a = 5.048 Å, b = 5.048 Å, c = 19.512 Å
α = 90.00°, β = 90.00°, γ = 90.00°
Fractional positions:
1 Tl 0.000 0.000 0.000
2 Tl 0.000 0.000 0.250
3 Tl 0.000 0.000 0.500
4 Tl 0.000 0.000 0.750
5 Tl 0.000 0.500 0.123
6 Tl 0.000 0.500 0.374
7 Tl 0.000 0.500 0.626
8 Tl 0.000 0.500 0.877
9 Tl 0.500 0.000 0.123
10 Tl 0.500 0.000 0.374
11 Tl 0.500 0.000 0.626
12 Tl 0.500 0.000 0.877
13 Cd 0.500 0.500 0.000
14 Bi 0.500 0.500 0.244
15 Bi 0.500 0.500 0.500
16 Bi 0.500 0.500 0.756

energy = -0.1890 Ry per atom
D(E_F) = 5.67 states/eV/f.u.
ΔE_f = -0.012 eV/atom

A plane-wave DFT calculation with PBE was carried out for an optimized crystal structure of Tl2Cd16Bi.

a = 7.855 Å, b = 7.855 Å, c = 7.855 Å
α = 84.34°, β = 84.34°, γ = 84.34°
Fractional positions:
1 Tl 0.000 0.000 0.000
2 Tl 0.304 0.304 0.304
3 Cd 0.005 0.005 0.475
4 Cd 0.005 0.475 0.005
5 Cd 0.157 0.638 0.638
6 Cd 0.294 0.294 0.804
7 Cd 0.294 0.804 0.294
8 Cd 0.338 0.648 0.952
9 Cd 0.338 0.952 0.648
10 Cd 0.475 0.005 0.005
11 Cd 0.540 0.540 0.540
12 Cd 0.638 0.157 0.638
13 Cd 0.638 0.638 0.157
14 Cd 0.648 0.338 0.952
15 Cd 0.648 0.952 0.338
16 Cd 0.804 0.294 0.294
17 Cd 0.952 0.338 0.648
18 Cd 0.952 0.648 0.338
19 Bi 0.753 0.753 0.753

energy = -0.0877 Ry per atom
D(E_F) = 6.31 states/eV/f.u.
ΔE_f = 0.030 eV/atom

A plane-wave DFT calculation with PBE was carried out for an optimized crystal structure of Tl4CdBi4.

a = 8.025 Å, b = 8.025 Å, c = 8.025 Å
α = 95.12°, β = 95.12°, γ = 145.24°
Fractional positions:
1 Tl 0.000 0.327 0.327
2 Tl 0.000 0.673 0.673
3 Tl 0.327 0.000 0.327
4 Tl 0.673 0.000 0.673
5 Cd 0.000 0.000 0.000
6 Bi 0.344 0.344 0.689
7 Bi 0.344 0.656 0.000
8 Bi 0.656 0.344 0.000
9 Bi 0.656 0.656 0.311

energy = -0.2092 Ry per atom
D(E_F) = 4.75 states/eV/f.u.
ΔE_f = 0.032 eV/atom

A plane-wave DFT calculation with PBE was carried out for an optimized crystal structure of Tl2VCdBi.

a = 5.480 Å, b = 5.480 Å, c = 5.796 Å
α = 90.00°, β = 90.00°, γ = 90.00°
Fractional positions:
1 Tl 0.000 0.500 0.000
2 Tl 0.500 0.000 0.000
3 V 0.000 0.000 0.500
4 Cd 0.500 0.500 0.000
5 Bi 0.500 0.500 0.500

energy = -0.1876 Ry per atom
D(E_F) = 5.64 states/eV/f.u.
ΔE_f = 1.177 eV/atom

A plane-wave DFT calculation with PBE was carried out for an optimized crystal structure of TlZnCdBi.

a = 5.307 Å, b = 5.307 Å, c = 5.307 Å
α = 60.00°, β = 60.00°, γ = 60.00°
Fractional positions:
1 Tl 0.000 0.000 0.000
2 Zn 0.250 0.250 0.250
3 Cd 0.750 0.750 0.750
4 Bi 0.500 0.500 0.500

energy = -0.1475 Ry per atom
D(E_F) = 1.23 states/eV/f.u.
ΔE_f = 0.102 eV/atom

A plane-wave DFT calculation with PBE was carried out for an optimized crystal structure of Tm7Cd2Bi2.

a = 7.231 Å, b = 7.231 Å, c = 6.866 Å
α = 90.00°, β = 90.00°, γ = 97.99°
Fractional positions:
1 Tm 0.000 0.000 0.000
2 Tm 0.000 0.500 0.253
3 Tm 0.000 0.500 0.747
4 Tm 0.500 0.000 0.253
5 Tm 0.500 0.000 0.747
6 Tm 0.500 0.500 0.248
7 Tm 0.500 0.500 0.752
8 Cd 0.275 0.725 0.000
9 Cd 0.725 0.275 0.000
10 Bi 0.201 0.201 0.500
11 Bi 0.799 0.799 0.500

energy = -0.2745 Ry per atom
D(E_F) = 11.81 states/eV/f.u.
ΔE_f = -0.017 eV/atom

A plane-wave DFT calculation with PBE was carried out for an optimized crystal structure of TmCdBi2.

a = 5.102 Å, b = 5.102 Å, c = 4.229 Å
α = 90.00°, β = 90.00°, γ = 90.00°
Fractional positions:
1 Tm 0.000 0.000 0.000
2 Cd 0.500 0.500 0.000
3 Bi 0.000 0.500 0.500
4 Bi 0.500 0.000 0.500

energy = -0.2645 Ry per atom
D(E_F) = 2.10 states/eV/f.u.
ΔE_f = -0.311 eV/atom

A plane-wave DFT calculation with PBE was carried out for an optimized crystal structure of Tm3CdBi2.

a = 7.648 Å, b = 7.648 Å, c = 8.779 Å
α = 106.69°, β = 106.69°, γ = 47.92°
Fractional positions:
1 Tm 0.002 0.998 0.750
2 Tm 0.330 0.330 0.415
3 Tm 0.330 0.330 0.915
4 Tm 0.670 0.670 0.085
5 Tm 0.670 0.670 0.585
6 Tm 0.998 0.002 0.250
7 Cd 0.498 0.502 0.250
8 Cd 0.502 0.498 0.750
9 Bi 0.166 0.166 0.083
10 Bi 0.166 0.166 0.583
11 Bi 0.834 0.834 0.417
12 Bi 0.834 0.834 0.917

energy = -0.3022 Ry per atom
D(E_F) = 6.73 states/eV/f.u.
ΔE_f = -0.429 eV/atom

Copy entry 4 word for word.
A plane-wave DFT calculation with PBE was carried out for an optimized crystal structure of Tl5CdBi2.

a = 7.076 Å, b = 14.261 Å, c = 4.873 Å
α = 90.00°, β = 90.00°, γ = 90.00°
Fractional positions:
1 Tl 0.000 0.000 0.000
2 Tl 0.053 0.254 0.000
3 Tl 0.200 0.865 0.500
4 Tl 0.300 0.365 0.500
5 Tl 0.447 0.754 0.000
6 Tl 0.500 0.500 0.000
7 Tl 0.553 0.246 0.000
8 Tl 0.700 0.635 0.500
9 Tl 0.800 0.135 0.500
10 Tl 0.947 0.746 0.000
11 Cd 0.000 0.500 0.000
12 Cd 0.500 0.000 0.000
13 Bi 0.196 0.608 0.500
14 Bi 0.304 0.108 0.500
15 Bi 0.696 0.892 0.500
16 Bi 0.804 0.392 0.500

energy = -0.1890 Ry per atom
D(E_F) = 3.56 states/eV/f.u.
ΔE_f = -0.008 eV/atom

Copy entry 7 word for word.
A plane-wave DFT calculation with PBE was carried out for an optimized crystal structure of Tl4CdBi4.

a = 8.025 Å, b = 8.025 Å, c = 8.025 Å
α = 95.12°, β = 95.12°, γ = 145.24°
Fractional positions:
1 Tl 0.000 0.327 0.327
2 Tl 0.000 0.673 0.673
3 Tl 0.327 0.000 0.327
4 Tl 0.673 0.000 0.673
5 Cd 0.000 0.000 0.000
6 Bi 0.344 0.344 0.689
7 Bi 0.344 0.656 0.000
8 Bi 0.656 0.344 0.000
9 Bi 0.656 0.656 0.311

energy = -0.2092 Ry per atom
D(E_F) = 4.75 states/eV/f.u.
ΔE_f = 0.032 eV/atom

What is the formula in the tenth record? Tm7Cd2Bi2

Number 3 is which compound? Tl3CdBi